Entry 1:
Er2Mg3Hg | Alexandria via LeMat-Bulk | PBE-GGA | relaxed; DFT formation energy = -0.17 eV per atom; spin magnetization = 0.000 μB per atom; space group = Pmm2; VASP energy = -2.54 eV/atom; ρ = 6.74 g/cm³
1.0
-3.054 1.474 0.166
-2.136 -4.514 0.786
0.971 1.040 8.616
Mg Er Hg
3 2 1
Direct
0.500 0.500 0.667
0.500 0.000 0.166
0.500 0.000 0.831
0.000 0.500 0.011
0.000 0.000 0.490
0.500 0.500 0.335

Entry 2:
ErMg2Hg5 | Alexandria via LeMat-Bulk | PBE-GGA | relaxed; DFT formation energy = -0.25 eV per atom; spin magnetization = 0.000 μB per atom; space group = I4/mmm; VASP energy = -1.41 eV/atom; ρ = 11.16 g/cm³; offset from the most stable computed form = 0 meV/atom
1.0
-2.049 3.052 -3.031
1.978 -2.313 -3.666
-6.372 -5.125 2.892
Hg Mg Er
5 2 1
Direct
0.365 0.865 0.731
0.635 0.135 0.269
0.500 0.500 0.000
0.135 0.635 0.269
0.865 0.365 0.731
0.755 0.755 0.511
0.245 0.245 0.489
0.000 0.000 0.000

Entry 3:
Er3MgHg5 | Alexandria via LeMat-Bulk | PBE-GGA | relaxed; DFT formation energy = -0.41 eV per atom; spin magnetization = 0.000 μB per atom; space group = P6_3/mcm; VASP energy = -2.27 eV/atom; ρ = 11.77 g/cm³
1.0
6.217 0.000 0.000
0.000 8.953 0.000
0.000 -4.476 7.753
Hg Er Mg
10 6 2
Direct
0.250 0.000 0.700
0.750 0.300 0.000
0.250 0.700 0.000
0.000 0.667 0.333
0.750 0.000 0.300
0.500 0.333 0.667
0.750 0.700 0.700
0.000 0.333 0.667
0.500 0.667 0.333
0.250 0.300 0.300
0.750 0.000 0.640
0.750 0.640 0.000
0.250 0.000 0.360
0.250 0.360 0.000
0.750 0.360 0.360
0.250 0.640 0.640
0.500 0.000 0.000
0.000 0.000 0.000

Entry 4:
ErMg5Hg6 | Alexandria via LeMat-Bulk | PBE-GGA | relaxed; DFT formation energy = -0.28 eV per atom; spin magnetization = 0.000 μB per atom; space group = P2/m; VASP energy = -1.48 eV/atom; ρ = 9.42 g/cm³
1.0
0.094 4.773 1.054
-5.276 1.199 -4.958
-5.145 -3.442 4.642
Hg Mg Er
6 5 1
Direct
0.500 0.737 0.000
0.832 0.751 0.661
0.500 0.263 0.000
0.168 0.751 0.339
0.168 0.249 0.339
0.832 0.249 0.661
0.336 0.000 0.666
0.000 0.500 0.000
0.335 0.500 0.663
0.664 0.000 0.334
0.665 0.500 0.337
0.000 0.000 0.000

Entry 5:
Er3Mg2Hg6 | Alexandria via LeMat-Bulk | PBE-GGA | relaxed; DFT formation energy = -0.12 eV per atom; spin magnetization = 0.000 μB per atom; space group = I4/mmm; VASP energy = -1.82 eV/atom; ρ = 9.22 g/cm³
1.0
5.052 0.000 0.000
0.000 5.052 0.000
-2.526 -2.526 12.379
Er Mg Hg
3 2 6
Direct
0.142 0.142 0.285
0.000 0.000 0.000
0.858 0.858 0.715
0.621 0.621 0.242
0.379 0.379 0.758
0.265 0.265 0.529
0.431 0.931 0.862
0.569 0.069 0.138
0.735 0.735 0.471
0.931 0.431 0.862
0.069 0.569 0.138

Entry 6:
Er2MgHg | Alexandria via LeMat-Bulk | PBE-GGA | relaxed; DFT formation energy = -0.26 eV per atom; spin magnetization = 0.000 μB per atom; space group = Fm-3m; VASP energy = -3.01 eV/atom; ρ = 9.07 g/cm³; offset from the most stable computed form = 18 meV/atom
1.0
5.251 0.000 0.000
2.626 4.548 0.000
2.626 1.516 4.288
Er Mg Hg
2 1 1
Direct
0.750 0.750 0.750
0.250 0.250 0.250
0.500 0.500 0.500
0.000 0.000 0.000